Record 1
Computed, not measured: Mo2Cl after structural relaxation at the GGA-PBE level of DFT.

Output
distance to the lowest polymorph of the same formula	469	meV per atom
raw total energy	-7.396	eV/atom
mass density	7.651	g cm⁻³
spin magnetization	0.0	μB/cell
E_form (uncorrected)	1.3	eV per formula unit

Cell lengths 5.895, 5.895, 5.895 Å; angles 150.57, 150.57, 42.10 degrees
Sites, in units of the cell vectors:
Mo  0.177  0.177  0.000
Cl  0.500  0.500  0.000
Mo  0.823  0.823  0.000

Record 2
Computed, not measured: MoCl6 after structural relaxation at the GGA-PBE level of DFT.

Output
raw total energy	-3.860	eV/atom
mass density	2.331	g cm⁻³
spin magnetization	0.0	μB/cell
E_form (uncorrected)	-5.1	eV per formula unit

Cell lengths 11.307, 11.307, 5.958 Å; angles 90.00, 90.00, 120.00 degrees
Sites, in units of the cell vectors:
Mo  0.000  0.000  0.000
Mo  0.333  0.667  0.505
Cl  0.193  0.096  0.224
Cl  0.859  0.430  0.271
Cl  0.763  0.237  0.719
Cl  0.096  0.193  0.776
Cl  0.237  0.474  0.281
Cl  0.430  0.859  0.729
Cl  0.096  0.904  0.776
Cl  0.570  0.430  0.271
Cl  0.141  0.570  0.729
Cl  0.570  0.141  0.271
Cl  0.237  0.763  0.281
Cl  0.430  0.570  0.729
Cl  0.526  0.763  0.281
Cl  0.763  0.526  0.719
Cl  0.904  0.096  0.224
Cl  0.807  0.904  0.776
Cl  0.474  0.237  0.719
Mo  0.667  0.333  0.495
Cl  0.904  0.807  0.224

Record 3
Computed, not measured: MoCl4 after structural relaxation at the GGA-PBE level of DFT.

Output
raw total energy	-4.382	eV/atom
mass density	3.206	g cm⁻³
spin magnetization	0.0	μB/cell
E_form (uncorrected)	-3.7	eV per formula unit

Cell lengths 5.791, 5.791, 12.721 Å; angles 90.00, 90.00, 120.00 degrees
Sites, in units of the cell vectors:
Cl  0.322  0.000  0.393
Cl  0.000  0.324  0.885
Cl  0.000  0.322  0.393
Cl  0.000  0.678  0.607
Mo  0.000  0.000  0.500
Cl  0.678  0.678  0.393
Cl  0.324  0.324  0.115
Mo  0.333  0.667  0.000
Cl  0.676  0.676  0.885
Mo  0.667  0.333  0.000
Cl  0.322  0.322  0.607
Cl  0.324  0.000  0.885
Cl  0.676  0.000  0.115
Cl  0.000  0.676  0.115
Cl  0.678  0.000  0.607

Record 4
Computed, not measured: Mo5Cl after structural relaxation at the GGA-PBE level of DFT.

Output
distance to the lowest polymorph of the same formula	62	meV per atom
raw total energy	-8.837	eV/atom
mass density	8.587	g cm⁻³
spin magnetization	0.0	μB/cell
E_form (uncorrected)	3.0	eV per formula unit

Cell lengths 6.766, 6.766, 4.813 Å; angles 90.00, 90.00, 153.12 degrees
Sites, in units of the cell vectors:
Mo  0.677  0.323  0.000
Cl  0.013  0.987  0.000
Mo  0.325  0.675  0.000
Mo  0.779  0.221  0.500
Mo  0.110  0.890  0.500
Mo  0.429  0.571  0.500

- mass density of number 1 (Mo2Cl)?
  7.651 g cm⁻³

Copy entry 3 word for word.
Computed, not measured: MoCl4 after structural relaxation at the GGA-PBE level of DFT.

Output
raw total energy	-4.382	eV/atom
mass density	3.206	g cm⁻³
spin magnetization	0.0	μB/cell
E_form (uncorrected)	-3.7	eV per formula unit

Cell lengths 5.791, 5.791, 12.721 Å; angles 90.00, 90.00, 120.00 degrees
Sites, in units of the cell vectors:
Cl  0.322  0.000  0.393
Cl  0.000  0.324  0.885
Cl  0.000  0.322  0.393
Cl  0.000  0.678  0.607
Mo  0.000  0.000  0.500
Cl  0.678  0.678  0.393
Cl  0.324  0.324  0.115
Mo  0.333  0.667  0.000
Cl  0.676  0.676  0.885
Mo  0.667  0.333  0.000
Cl  0.322  0.322  0.607
Cl  0.324  0.000  0.885
Cl  0.676  0.000  0.115
Cl  0.000  0.676  0.115
Cl  0.678  0.000  0.607

- What is the formula in the third record?
  MoCl4

- Number 3 is which compound?
  MoCl4